A.
Here is a geometry-optimized TbAl4Pd2 structure from Alexandria. Energies are from PBE-GGA. Values from VASP.

Quantum ESPRESSO input file:
```
&SYSTEM
  ibrav = 0, nat = 28, ntyp = 3
/
ATOMIC_SPECIES
Tb 158.93 Tb.upf
Al 26.98 Al.upf
Pd 106.42 Pd.upf
ATOMIC_POSITIONS angstrom
Tb 2.409 1.080 0.075
Tb 6.228 3.240 3.377
Tb 11.045 1.080 3.227
Tb 14.865 3.240 6.529
Al 0.615 3.240 5.512
Al 1.210 1.080 3.254
Al 3.229 3.240 2.108
Al 3.333 3.240 4.782
Al 5.303 1.080 1.480
Al 5.408 1.080 5.410
Al 7.426 3.240 6.556
Al 8.022 1.080 2.210
Al 9.251 3.240 4.394
Al 9.847 1.080 0.048
Al 11.866 3.240 1.194
Al 11.970 3.240 5.124
Al 13.940 1.080 1.822
Al 14.044 1.080 4.496
Al 16.063 3.240 3.350
Al 16.659 1.080 1.092
Pd 0.661 3.240 1.600
Pd 3.720 1.080 3.461
Pd 4.917 3.240 0.159
Pd 7.976 1.080 4.902
Pd 9.298 3.240 1.702
Pd 12.357 1.080 6.445
Pd 13.553 3.240 3.143
Pd 16.613 1.080 5.004
CELL_PARAMETERS angstrom
17.273 0.000 0.000
0.000 4.321 0.000
0.000 0.000 6.604
```

Its density of states at the Fermi level is 11.1 states/eV/cell.

---

B.
Here is a geometry-optimized TbAl4Pd2 structure from Alexandria. Energies are from PBE-GGA. Values from VASP.

Quantum ESPRESSO input file:
```
&SYSTEM
  ibrav = 0, nat = 14, ntyp = 3
/
ATOMIC_SPECIES
Tb 158.93 Tb.upf
Al 26.98 Al.upf
Pd 106.42 Pd.upf
ATOMIC_POSITIONS angstrom
Tb 0.000 0.000 0.000
Tb 3.884 3.884 2.064
Al 0.661 2.614 2.064
Al 1.271 4.546 0.000
Al 2.614 0.661 2.064
Al 3.223 6.498 0.000
Al 4.546 1.271 0.000
Al 5.155 7.108 2.064
Al 6.498 3.223 0.000
Al 7.108 5.155 2.064
Pd 1.705 6.064 2.064
Pd 2.179 2.179 0.000
Pd 5.590 5.590 0.000
Pd 6.064 1.705 2.064
CELL_PARAMETERS angstrom
7.769 0.000 0.000
0.000 7.769 0.000
0.000 0.000 4.128
```

Its density of states at the Fermi level is 5.4 states/eV/cell.

---

Relative energy table, unit meV/atom: A 0; B 65

---

A.
Here is a geometry-optimized AlTePd6 structure from Alexandria. Energies are from PBE-GGA. Values from VASP.

Quantum ESPRESSO input file:
```
&SYSTEM
  ibrav = 0, nat = 8, ntyp = 3
/
ATOMIC_SPECIES
Al 26.98 Al.upf
Te 127.60 Te.upf
Pd 106.42 Pd.upf
ATOMIC_POSITIONS angstrom
Al 0.000 0.000 0.000
Te 3.992 3.089 2.505
Pd 1.057 2.928 1.210
Pd 1.982 0.578 2.623
Pd 4.903 4.937 4.987
Pd 3.082 1.241 0.023
Pd 6.003 5.600 2.388
Pd 6.927 3.251 3.800
CELL_PARAMETERS angstrom
5.278 0.000 0.000
1.364 5.111 0.000
1.343 1.068 5.010
```

Its density of states at the Fermi level is 3.2 states/eV/cell.

---

B.
Here is a geometry-optimized AlTePd6 structure from Alexandria. Energies are from PBE-GGA. Values from VASP.

Quantum ESPRESSO input file:
```
&SYSTEM
  ibrav = 0, nat = 8, ntyp = 3
/
ATOMIC_SPECIES
Al 26.98 Al.upf
Te 127.60 Te.upf
Pd 106.42 Pd.upf
ATOMIC_POSITIONS angstrom
Al 0.000 0.000 0.000
Te 0.000 0.000 3.979
Pd 0.000 2.004 1.883
Pd 0.000 2.004 6.075
Pd 2.004 0.000 1.883
Pd 2.004 0.000 6.075
Pd 2.004 2.004 0.000
Pd 2.004 2.004 3.979
CELL_PARAMETERS angstrom
4.007 0.000 0.000
0.000 4.007 0.000
0.000 0.000 7.958
```

Its density of states at the Fermi level is 4.9 states/eV/cell.

---

Relative energy table, unit meV/atom: A 118; B 0

---

A.
Here is a geometry-optimized AlTe2Pd8 structure from Alexandria. Energies are from PBE-GGA. Values from VASP.

Quantum ESPRESSO input file:
```
&SYSTEM
  ibrav = 0, nat = 11, ntyp = 3
/
ATOMIC_SPECIES
Al 26.98 Al.upf
Te 127.60 Te.upf
Pd 106.42 Pd.upf
ATOMIC_POSITIONS angstrom
Al 0.000 0.000 0.000
Te 3.750 0.000 2.013
Te 7.796 0.000 4.048
Pd 0.030 0.000 2.609
Pd -0.183 0.000 5.703
Pd 2.534 0.000 4.434
Pd 6.235 0.000 1.103
Pd 5.310 0.000 4.958
Pd 9.012 0.000 1.627
Pd 11.728 0.000 0.358
Pd 11.515 0.000 3.452
CELL_PARAMETERS angstrom
7.149 -2.153 0.000
7.149 2.153 0.000
-2.752 0.000 6.061
```

Its density of states at the Fermi level is 4.4 states/eV/cell.

---

B.
Here is a geometry-optimized AlTe2Pd8 structure from Alexandria. Energies are from PBE-GGA. Values from VASP.

Quantum ESPRESSO input file:
```
&SYSTEM
  ibrav = 0, nat = 11, ntyp = 3
/
ATOMIC_SPECIES
Al 26.98 Al.upf
Te 127.60 Te.upf
Pd 106.42 Pd.upf
ATOMIC_POSITIONS angstrom
Al 0.000 0.000 0.000
Te 0.000 0.000 3.900
Te 0.000 0.000 8.259
Pd 2.028 -1.872 4.087
Pd 2.028 0.000 1.552
Pd 2.028 2.302 0.000
Pd 0.000 1.959 1.992
Pd 2.028 1.872 4.087
Pd 0.000 1.528 6.080
Pd 0.000 3.831 4.528
Pd 0.000 5.702 1.992
CELL_PARAMETERS angstrom
-2.028 3.831 6.080
2.028 -3.831 6.080
2.028 3.831 -6.080
```

Its density of states at the Fermi level is 7.0 states/eV/cell.

---

Relative energy table, unit meV/atom: A 0; B 27

---

A.
Here is a geometry-optimized AlTe3Pd structure from Alexandria. Energies are from PBE-GGA. Values from VASP.

Quantum ESPRESSO input file:
```
&SYSTEM
  ibrav = 0, nat = 5, ntyp = 3
/
ATOMIC_SPECIES
Al 26.98 Al.upf
Te 127.60 Te.upf
Pd 106.42 Pd.upf
ATOMIC_POSITIONS angstrom
Al 0.000 0.000 0.000
Te 0.000 2.663 2.663
Te 2.663 0.000 2.663
Te 2.663 2.663 0.000
Pd 2.663 2.663 2.663
CELL_PARAMETERS angstrom
5.326 0.000 0.000
0.000 5.326 0.000
0.000 0.000 5.326
```

Its density of states at the Fermi level is 4.5 states/eV/cell.

---

B.
Here is a geometry-optimized AlTe3Pd structure from Alexandria. Energies are from PBE-GGA. Values from VASP.

Quantum ESPRESSO input file:
```
&SYSTEM
  ibrav = 0, nat = 5, ntyp = 3
/
ATOMIC_SPECIES
Al 26.98 Al.upf
Te 127.60 Te.upf
Pd 106.42 Pd.upf
ATOMIC_POSITIONS angstrom
Al 0.000 0.000 0.000
Te 0.000 0.000 2.630
Te 0.000 2.630 0.000
Te 2.630 0.000 0.000
Pd 2.630 2.630 2.630
CELL_PARAMETERS angstrom
5.260 0.000 0.000
0.000 5.260 0.000
0.000 0.000 5.260
```

Its density of states at the Fermi level is 6.0 states/eV/cell.

---

Relative energy table, unit meV/atom: A 0; B 199

---

A.
Here is a geometry-optimized Th2AlPd3 structure from Alexandria. Energies are from PBE-GGA. Values from VASP.

Quantum ESPRESSO input file:
```
&SYSTEM
  ibrav = 0, nat = 24, ntyp = 3
/
ATOMIC_SPECIES
Th 232.04 Th.upf
Al 26.98 Al.upf
Pd 106.42 Pd.upf
ATOMIC_POSITIONS angstrom
Th 0.635 1.008 3.723
Th 1.020 1.008 7.577
Th 2.566 3.024 16.419
Th 2.950 3.024 12.565
Th 4.220 1.008 5.119
Th 4.605 1.008 1.265
Th 6.151 3.024 10.107
Th 6.535 3.024 13.962
Al 0.101 3.024 1.105
Al 3.484 1.008 9.947
Al 3.686 3.024 7.737
Al 7.070 1.008 16.579
Pd 0.852 1.008 11.543
Pd 1.523 1.008 14.425
Pd 1.636 1.008 0.862
Pd 1.950 3.024 9.704
Pd 2.063 3.024 5.582
Pd 2.733 3.024 2.700
Pd 4.437 1.008 14.984
Pd 5.108 1.008 12.102
Pd 5.221 1.008 7.980
Pd 5.535 3.024 16.822
Pd 5.648 3.024 3.260
Pd 6.318 3.024 6.142
CELL_PARAMETERS angstrom
7.170 0.000 0.000
0.000 4.033 0.000
0.000 0.000 17.684
```

Its density of states at the Fermi level is 15.7 states/eV/cell.

---

B.
Here is a geometry-optimized Th2AlPd3 structure from Alexandria. Energies are from PBE-GGA. Values from VASP.

Quantum ESPRESSO input file:
```
&SYSTEM
  ibrav = 0, nat = 12, ntyp = 3
/
ATOMIC_SPECIES
Th 232.04 Th.upf
Al 26.98 Al.upf
Pd 106.42 Pd.upf
ATOMIC_POSITIONS angstrom
Th 5.468 4.535 7.963
Th 1.805 2.267 3.982
Th 5.416 6.802 11.945
Th 1.754 4.535 7.963
Al 3.611 4.535 5.316
Al 3.611 4.535 10.610
Pd 3.611 4.535 2.791
Pd 3.611 2.399 6.589
Pd 3.611 2.399 9.338
Pd 3.611 6.671 6.589
Pd 3.611 6.671 9.338
Pd 3.611 4.535 13.135
CELL_PARAMETERS angstrom
0.000 4.535 7.963
3.611 0.000 7.963
3.611 4.535 0.000
```

Its density of states at the Fermi level is 8.8 states/eV/cell.

---

Relative energy table, unit meV/atom: A 0; B 80

---

A.
Here is a geometry-optimized ThAlPd6 structure from Alexandria. Energies are from PBE-GGA. Values from VASP.

Quantum ESPRESSO input file:
```
&SYSTEM
  ibrav = 0, nat = 8, ntyp = 3
/
ATOMIC_SPECIES
Th 232.04 Th.upf
Al 26.98 Al.upf
Pd 106.42 Pd.upf
ATOMIC_POSITIONS angstrom
Th 0.000 0.000 0.000
Al 0.000 0.000 3.961
Pd 0.000 2.064 2.134
Pd 0.000 2.064 5.788
Pd 2.064 0.000 2.134
Pd 2.064 0.000 5.788
Pd 2.064 2.064 0.000
Pd 2.064 2.064 3.961
CELL_PARAMETERS angstrom
4.128 0.000 0.000
0.000 4.128 0.000
0.000 0.000 7.922
```

Its density of states at the Fermi level is 1.8 states/eV/cell.

---

B.
Here is a geometry-optimized ThAlPd6 structure from Alexandria. Energies are from PBE-GGA. Values from VASP.

Quantum ESPRESSO input file:
```
&SYSTEM
  ibrav = 0, nat = 8, ntyp = 3
/
ATOMIC_SPECIES
Th 232.04 Th.upf
Al 26.98 Al.upf
Pd 106.42 Pd.upf
ATOMIC_POSITIONS angstrom
Th 0.000 0.000 0.000
Al 0.000 0.000 9.514
Pd -1.410 -0.814 7.711
Pd 0.000 -1.628 11.318
Pd -1.410 0.814 11.318
Pd 1.410 -0.814 7.711
Pd 0.000 1.628 7.711
Pd 1.410 0.814 11.318
CELL_PARAMETERS angstrom
2.752 1.589 6.343
-2.752 1.589 6.343
0.000 -3.177 6.343
```

Its density of states at the Fermi level is 3.1 states/eV/cell.

---

Relative energy table, unit meV/atom: A 0; B 393

---

A.
Here is a geometry-optimized TiAlPd6 structure from Alexandria. Energies are from PBE-GGA. Values from VASP.

Quantum ESPRESSO input file:
```
&SYSTEM
  ibrav = 0, nat = 8, ntyp = 3
/
ATOMIC_SPECIES
Ti 47.87 Ti.upf
Al 26.98 Al.upf
Pd 106.42 Pd.upf
ATOMIC_POSITIONS angstrom
Ti 0.000 0.000 0.000
Al 0.000 0.000 3.897
Pd 0.000 1.963 1.945
Pd 0.000 1.963 5.850
Pd 1.963 0.000 1.945
Pd 1.963 0.000 5.850
Pd 1.963 1.963 0.000
Pd 1.963 1.963 3.897
CELL_PARAMETERS angstrom
3.926 0.000 0.000
0.000 3.926 0.000
0.000 0.000 7.795
```

Its density of states at the Fermi level is 3.7 states/eV/cell.

---

B.
Here is a geometry-optimized TiAlPd6 structure from Alexandria. Energies are from PBE-GGA. Values from VASP.

Quantum ESPRESSO input file:
```
&SYSTEM
  ibrav = 0, nat = 8, ntyp = 3
/
ATOMIC_SPECIES
Ti 47.87 Ti.upf
Al 26.98 Al.upf
Pd 106.42 Pd.upf
ATOMIC_POSITIONS angstrom
Ti 0.000 0.000 0.000
Al 2.441 0.000 3.404
Pd 0.496 1.312 4.756
Pd 2.454 0.000 0.439
Pd 4.386 1.312 2.052
Pd 0.496 -1.312 4.756
Pd 2.428 0.000 6.369
Pd 4.386 -1.312 2.052
CELL_PARAMETERS angstrom
3.699 -2.692 0.000
3.699 2.692 0.000
-2.516 0.000 6.808
```

Its density of states at the Fermi level is 4.3 states/eV/cell.

---

Relative energy table, unit meV/atom: A 0; B 286

---

A.
Here is a geometry-optimized TiAl3Pd structure from Alexandria. Energies are from PBE-GGA. Values from VASP.

Quantum ESPRESSO input file:
```
&SYSTEM
  ibrav = 0, nat = 20, ntyp = 3
/
ATOMIC_SPECIES
Ti 47.87 Ti.upf
Al 26.98 Al.upf
Pd 106.42 Pd.upf
ATOMIC_POSITIONS angstrom
Ti 1.063 2.089 0.871
Ti 2.316 6.268 3.862
Ti 4.441 2.089 2.120
Ti 5.694 6.268 5.111
Al 0.484 6.268 1.510
Al 1.039 4.373 5.259
Al 1.039 8.163 5.259
Al 2.340 0.195 2.268
Al 2.340 3.984 2.268
Al 2.894 2.089 4.501
Al 3.862 6.268 1.481
Al 4.417 4.373 3.714
Al 4.417 8.163 3.714
Al 5.718 0.195 0.723
Al 5.718 3.984 0.723
Al 6.273 2.089 4.472
Pd 0.000 0.000 2.991
Pd 0.000 4.179 2.991
Pd 3.378 0.000 0.000
Pd 3.378 4.179 0.000
CELL_PARAMETERS angstrom
6.757 0.000 0.000
0.000 8.357 0.000
0.000 0.000 5.982
```

Its density of states at the Fermi level is 11.8 states/eV/cell.

---

B.
Here is a geometry-optimized TiAl3Pd structure from Alexandria. Energies are from PBE-GGA. Values from VASP.

Quantum ESPRESSO input file:
```
&SYSTEM
  ibrav = 0, nat = 5, ntyp = 3
/
ATOMIC_SPECIES
Ti 47.87 Ti.upf
Al 26.98 Al.upf
Pd 106.42 Pd.upf
ATOMIC_POSITIONS angstrom
Ti 0.000 0.000 0.000
Al 0.000 2.321 2.321
Al 2.321 0.000 2.321
Al 2.321 2.321 0.000
Pd 2.321 2.321 2.321
CELL_PARAMETERS angstrom
4.641 0.000 0.000
0.000 4.641 0.000
0.000 0.000 4.641
```

Its density of states at the Fermi level is 4.7 states/eV/cell.

---

Relative energy table, unit meV/atom: A 0; B 576

---

A.
Here is a geometry-optimized Ti4Al3Pd structure from Alexandria. Energies are from PBE-GGA. Values from VASP.

Quantum ESPRESSO input file:
```
&SYSTEM
  ibrav = 0, nat = 8, ntyp = 3
/
ATOMIC_SPECIES
Ti 47.87 Ti.upf
Al 26.98 Al.upf
Pd 106.42 Pd.upf
ATOMIC_POSITIONS angstrom
Ti 2.442 0.000 0.966
Ti 5.256 0.000 1.000
Ti 18.832 0.000 3.061
Ti 21.647 0.000 3.096
Al 8.160 0.000 1.057
Al 12.044 0.000 2.031
Al 15.928 0.000 3.004
Pd 0.000 0.000 0.000
CELL_PARAMETERS angstrom
12.079 -1.410 0.000
12.079 1.410 0.000
-0.069 0.000 4.061
```

Its density of states at the Fermi level is 7.5 states/eV/cell.

---

B.
Here is a geometry-optimized Ti4Al3Pd structure from Alexandria. Energies are from PBE-GGA. Values from VASP.

Quantum ESPRESSO input file:
```
&SYSTEM
  ibrav = 0, nat = 8, ntyp = 3
/
ATOMIC_SPECIES
Ti 47.87 Ti.upf
Al 26.98 Al.upf
Pd 106.42 Pd.upf
ATOMIC_POSITIONS angstrom
Ti 0.000 0.000 0.000
Ti 0.000 2.090 3.590
Ti 1.488 0.000 5.239
Ti 1.488 2.090 8.872
Al 0.000 2.090 6.328
Al 1.488 0.000 2.545
Al 1.488 2.090 1.028
Pd 0.000 0.000 7.834
CELL_PARAMETERS angstrom
2.976 0.000 0.000
0.000 4.179 0.000
0.000 0.000 10.540
```

Its density of states at the Fermi level is 9.4 states/eV/cell.

---

Relative energy table, unit meV/atom: A 163; B 0

---

A.
Here is a geometry-optimized Al2TlPd8 structure from Alexandria. Energies are from PBE-GGA. Values from VASP.

Quantum ESPRESSO input file:
```
&SYSTEM
  ibrav = 0, nat = 11, ntyp = 3
/
ATOMIC_SPECIES
Al 26.98 Al.upf
Tl 204.38 Tl.upf
Pd 106.42 Pd.upf
ATOMIC_POSITIONS angstrom
Al 2.644 0.000 0.996
Al 9.175 0.000 5.066
Tl 5.910 0.000 3.031
Pd 0.088 0.000 1.369
Pd 0.682 0.000 4.481
Pd 3.244 0.000 3.444
Pd 5.462 0.000 0.136
Pd 6.357 0.000 5.926
Pd 8.575 0.000 2.618
Pd 11.137 0.000 1.580
Pd 11.731 0.000 4.693
CELL_PARAMETERS angstrom
6.986 -2.048 0.000
6.986 2.048 0.000
-2.152 0.000 6.062
```

Its density of states at the Fermi level is 3.7 states/eV/cell.

---

B.
Here is a geometry-optimized Al2TlPd8 structure from Alexandria. Energies are from PBE-GGA. Values from VASP.

Quantum ESPRESSO input file:
```
&SYSTEM
  ibrav = 0, nat = 11, ntyp = 3
/
ATOMIC_SPECIES
Al 26.98 Al.upf
Tl 204.38 Tl.upf
Pd 106.42 Pd.upf
ATOMIC_POSITIONS angstrom
Al 3.567 4.459 0.000
Al 3.567 -4.459 0.000
Tl 3.608 0.000 0.200
Pd -0.237 2.297 2.932
Pd 0.426 0.000 1.273
Pd 2.438 1.712 2.161
Pd -0.237 -2.297 2.932
Pd 4.821 2.554 1.064
Pd 2.438 -1.712 2.161
Pd 5.113 0.000 2.416
Pd 4.821 -2.554 1.064
CELL_PARAMETERS angstrom
3.567 -6.597 0.000
3.567 6.597 0.000
-2.701 0.000 3.784
```

Its density of states at the Fermi level is 4.6 states/eV/cell.

---

Relative energy table, unit meV/atom: A 0; B 61

---

A.
Here is a geometry-optimized Al2TlPd structure from Alexandria. Energies are from PBE-GGA. Values from VASP.

Quantum ESPRESSO input file:
```
&SYSTEM
  ibrav = 0, nat = 8, ntyp = 3
/
ATOMIC_SPECIES
Al 26.98 Al.upf
Tl 204.38 Tl.upf
Pd 106.42 Pd.upf
ATOMIC_POSITIONS angstrom
Al 5.878 1.465 -0.690
Al 1.465 1.959 0.690
Al -1.959 2.454 2.070
Al 2.454 1.959 3.450
Tl 3.919 0.000 1.380
Tl 0.000 0.000 2.760
Pd 0.000 0.000 0.000
Pd 0.000 3.919 1.380
CELL_PARAMETERS angstrom
-3.919 3.919 2.760
3.919 -3.919 2.760
3.919 3.919 -2.760
```

Its density of states at the Fermi level is 3.4 states/eV/cell.

---

B.
Here is a geometry-optimized Al2TlPd structure from Alexandria. Energies are from PBE-GGA. Values from VASP.

Quantum ESPRESSO input file:
```
&SYSTEM
  ibrav = 0, nat = 4, ntyp = 3
/
ATOMIC_SPECIES
Al 26.98 Al.upf
Tl 204.38 Tl.upf
Pd 106.42 Pd.upf
ATOMIC_POSITIONS angstrom
Al 1.671 1.671 1.671
Al 5.014 5.014 5.014
Tl 0.000 0.000 0.000
Pd 3.343 3.343 3.343
CELL_PARAMETERS angstrom
0.000 3.343 3.343
3.343 0.000 3.343
3.343 3.343 0.000
```

Its density of states at the Fermi level is 2.3 states/eV/cell.

---

Relative energy table, unit meV/atom: A 0; B 47